<a>
SnGeN2: optimized geometry, GGA-PBE.

Cell lengths 5.152, 5.479, 5.479 Å; angles 62.76, 61.95, 61.95 degrees
Sites, in units of the cell vectors:
N1 0.251 0.104 0.104
N2 0.596 0.500 0.000
Ge1 0.616 0.882 0.882
Sn1 0.182 0.369 0.369
Ge2 0.880 0.118 0.118
N3 0.959 0.896 0.896
Sn2 0.419 0.631 0.631
N4 0.596 0.000 0.500

Computed properties:
The value obtained for the volume is 114.79 Å³ per cell.

***

<b>
SnGeN2: optimized geometry, GGA-PBE.

Cell lengths 6.534, 6.534, 6.534 Å; angles 27.36, 27.36, 27.36 degrees
Sites, in units of the cell vectors:
Sn1 0.000 0.000 0.000
Ge1 0.500 0.500 0.500
N1 0.886 0.886 0.886
N2 0.114 0.114 0.114

Computed properties:
The density of states at the Fermi level comes out at 0.09 states/eV/atom. The value obtained for the volume is 51.98 Å³ per cell.

***

<c>
SnGeN2: optimized geometry, GGA-PBE.

Cell lengths 4.146, 4.146, 4.146 Å; angles 60.00, 60.00, 60.00 degrees
Sites, in units of the cell vectors:
Sn1 0.500 0.500 0.500
Ge1 0.000 0.000 0.000
N1 0.750 0.750 0.750
N2 0.250 0.250 0.250

Computed properties:
The density of states at the Fermi level comes out at 0.42 states/eV/atom. The value obtained for the volume is 50.39 Å³ per cell.

***

<a> takes first place; second place is 248 meV per atom up.